Arrangement a

A crystal of CrNiPb2 relaxed with PBEsol. Source: Alexandria via LeMat-Bulk, functional meta-GGA SCAN.

CIF file:
```
data_CrNiPb2
_symmetry_space_group_name_H-M 'P 1'
_symmetry_Int_Tables_number 1
_cell_length_a 3.1849
_cell_length_b 3.1849
_cell_length_c 7.9516
_cell_angle_alpha 90.00
_cell_angle_beta 90.00
_cell_angle_gamma 90.00
loop_
_symmetry_equiv_pos_as_xyz
'x,y,z'
loop_
_atom_site_label
_atom_site_fract_x
_atom_site_fract_y
_atom_site_fract_z
Cr1 0.0000 0.0000 0.0000
Ni1 0.5000 0.5000 0.1347
Pb1 0.0000 0.0000 0.3655
Pb2 0.5000 0.5000 0.7554
```

N(E_F): 3.3 states/eV/cell

Arrangement b

A crystal of CrNiPb2 relaxed with PBEsol. Source: Alexandria via LeMat-Bulk, functional meta-GGA SCAN.

CIF file:
```
data_CrNiPb2
_symmetry_space_group_name_H-M 'P 1'
_symmetry_Int_Tables_number 1
_cell_length_a 4.4579
_cell_length_b 4.4579
_cell_length_c 5.8713
_cell_angle_alpha 102.88
_cell_angle_beta 102.88
_cell_angle_gamma 44.26
loop_
_symmetry_equiv_pos_as_xyz
'x,y,z'
loop_
_atom_site_label
_atom_site_fract_x
_atom_site_fract_y
_atom_site_fract_z
Cr1 0.0000 0.0000 0.0000
Ni1 0.5000 0.5000 0.5000
Pb1 0.2395 0.2395 0.7291
Pb2 0.7605 0.7605 0.2709
```

N(E_F): 2.4 states/eV/cell

Least stable: arrangement b

Arrangement a

A crystal of CrRe2Ni relaxed with PBEsol. Source: Alexandria via LeMat-Bulk, functional meta-GGA SCAN.

CIF file:
```
data_CrRe2Ni
_symmetry_space_group_name_H-M 'P 1'
_symmetry_Int_Tables_number 1
_cell_length_a 4.5218
_cell_length_b 4.5218
_cell_length_c 4.4960
_cell_angle_alpha 100.03
_cell_angle_beta 100.03
_cell_angle_gamma 34.60
loop_
_symmetry_equiv_pos_as_xyz
'x,y,z'
loop_
_atom_site_label
_atom_site_fract_x
_atom_site_fract_y
_atom_site_fract_z
Cr1 0.0000 0.0000 0.0000
Re1 0.5048 0.5048 0.5207
Re2 0.7485 0.7485 0.2464
Ni1 0.2542 0.2542 0.7602
```

N(E_F): 3.9 states/eV/cell

Arrangement b

A crystal of CrRe2Ni relaxed with PBEsol. Source: Alexandria via LeMat-Bulk, functional meta-GGA SCAN.

CIF file:
```
data_CrRe2Ni
_symmetry_space_group_name_H-M 'P 1'
_symmetry_Int_Tables_number 1
_cell_length_a 4.4743
_cell_length_b 4.4743
_cell_length_c 4.6388
_cell_angle_alpha 99.40
_cell_angle_beta 99.40
_cell_angle_gamma 34.56
loop_
_symmetry_equiv_pos_as_xyz
'x,y,z'
loop_
_atom_site_label
_atom_site_fract_x
_atom_site_fract_y
_atom_site_fract_z
Cr1 0.0000 0.0000 0.0000
Re1 0.2493 0.2493 0.7479
Re2 0.7507 0.7507 0.2521
Ni1 0.5000 0.5000 0.5000
```

N(E_F): 4.1 states/eV/cell

Least stable: arrangement b

Arrangement a

A crystal of CrRe2Ni relaxed with PBEsol. Source: Alexandria via LeMat-Bulk, functional meta-GGA SCAN.

CIF file:
```
data_CrRe2Ni
_symmetry_space_group_name_H-M 'P 1'
_symmetry_Int_Tables_number 1
_cell_length_a 4.2004
_cell_length_b 4.2004
_cell_length_c 4.2004
_cell_angle_alpha 60.00
_cell_angle_beta 60.00
_cell_angle_gamma 60.00
loop_
_symmetry_equiv_pos_as_xyz
'x,y,z'
loop_
_atom_site_label
_atom_site_fract_x
_atom_site_fract_y
_atom_site_fract_z
Cr1 0.0000 0.0000 0.0000
Re1 0.2500 0.2500 0.2500
Re2 0.5000 0.5000 0.5000
Ni1 0.7500 0.7500 0.7500
```

N(E_F): 3.4 states/eV/cell

Arrangement b

A crystal of CrRe2Ni relaxed with PBEsol. Source: Alexandria via LeMat-Bulk, functional meta-GGA SCAN.

CIF file:
```
data_CrRe2Ni
_symmetry_space_group_name_H-M 'P 1'
_symmetry_Int_Tables_number 1
_cell_length_a 3.7366
_cell_length_b 3.7366
_cell_length_c 3.6397
_cell_angle_alpha 90.00
_cell_angle_beta 90.00
_cell_angle_gamma 90.00
loop_
_symmetry_equiv_pos_as_xyz
'x,y,z'
loop_
_atom_site_label
_atom_site_fract_x
_atom_site_fract_y
_atom_site_fract_z
Cr1 0.0000 0.0000 0.0000
Re1 0.0000 0.5000 0.5000
Re2 0.5000 0.0000 0.5000
Ni1 0.5000 0.5000 0.0000
```

N(E_F): 2.7 states/eV/cell

Arrangement c

A crystal of CrRe2Ni relaxed with PBEsol. Source: Alexandria via LeMat-Bulk, functional meta-GGA SCAN.

CIF file:
```
data_CrRe2Ni
_symmetry_space_group_name_H-M 'P 1'
_symmetry_Int_Tables_number 1
_cell_length_a 4.5281
_cell_length_b 4.5281
_cell_length_c 4.5281
_cell_angle_alpha 131.40
_cell_angle_beta 131.40
_cell_angle_gamma 71.18
loop_
_symmetry_equiv_pos_as_xyz
'x,y,z'
loop_
_atom_site_label
_atom_site_fract_x
_atom_site_fract_y
_atom_site_fract_z
Cr1 0.0000 0.0000 0.0000
Re1 0.5000 0.5000 0.0000
Re2 0.7500 0.2500 0.5000
Ni1 0.2500 0.7500 0.5000
```

N(E_F): 2.7 states/eV/cell

Arrangement d

A crystal of CrRe2Ni relaxed with PBEsol. Source: Alexandria via LeMat-Bulk, functional meta-GGA SCAN.

CIF file:
```
data_CrRe2Ni
_symmetry_space_group_name_H-M 'P 1'
_symmetry_Int_Tables_number 1
_cell_length_a 4.1617
_cell_length_b 4.1617
_cell_length_c 4.1617
_cell_angle_alpha 60.00
_cell_angle_beta 60.00
_cell_angle_gamma 60.00
loop_
_symmetry_equiv_pos_as_xyz
'x,y,z'
loop_
_atom_site_label
_atom_site_fract_x
_atom_site_fract_y
_atom_site_fract_z
Cr1 0.0000 0.0000 0.0000
Re1 0.2500 0.2500 0.2500
Re2 0.7500 0.7500 0.7500
Ni1 0.5000 0.5000 0.5000
```

N(E_F): 4.4 states/eV/cell

Least stable: arrangement d

Arrangement a

A crystal of CrNiSb2 relaxed with PBEsol. Source: Alexandria via LeMat-Bulk, functional meta-GGA SCAN.

CIF file:
```
data_CrNiSb2
_symmetry_space_group_name_H-M 'P 1'
_symmetry_Int_Tables_number 1
_cell_length_a 4.6238
_cell_length_b 4.6238
_cell_length_c 3.1805
_cell_angle_alpha 90.00
_cell_angle_beta 90.00
_cell_angle_gamma 90.00
loop_
_symmetry_equiv_pos_as_xyz
'x,y,z'
loop_
_atom_site_label
_atom_site_fract_x
_atom_site_fract_y
_atom_site_fract_z
Cr1 0.0000 0.0000 0.0000
Ni1 0.5000 0.5000 0.0000
Sb1 0.0000 0.5000 0.5000
Sb2 0.5000 0.0000 0.5000
```

N(E_F): 2.5 states/eV/cell

Arrangement b

A crystal of CrNiSb2 relaxed with PBEsol. Source: Alexandria via LeMat-Bulk, functional meta-GGA SCAN.

CIF file:
```
data_CrNiSb2
_symmetry_space_group_name_H-M 'P 1'
_symmetry_Int_Tables_number 1
_cell_length_a 6.4819
_cell_length_b 6.4819
_cell_length_c 6.4819
_cell_angle_alpha 152.48
_cell_angle_beta 144.63
_cell_angle_gamma 45.39
loop_
_symmetry_equiv_pos_as_xyz
'x,y,z'
loop_
_atom_site_label
_atom_site_fract_x
_atom_site_fract_y
_atom_site_fract_z
Cr1 0.0000 0.0000 0.0000
Ni1 0.2073 0.7073 0.5000
Sb1 0.3922 0.3922 0.0000
Sb2 0.6531 0.1531 0.5000
```

N(E_F): 2.1 states/eV/cell

Least stable: arrangement a

Arrangement a

A crystal of CrNiSb2 relaxed with PBEsol. Source: Alexandria via LeMat-Bulk, functional meta-GGA SCAN.

CIF file:
```
data_CrNiSb2
_symmetry_space_group_name_H-M 'P 1'
_symmetry_Int_Tables_number 1
_cell_length_a 3.9571
_cell_length_b 3.9571
_cell_length_c 5.3439
_cell_angle_alpha 90.00
_cell_angle_beta 90.00
_cell_angle_gamma 120.00
loop_
_symmetry_equiv_pos_as_xyz
'x,y,z'
loop_
_atom_site_label
_atom_site_fract_x
_atom_site_fract_y
_atom_site_fract_z
Cr1 0.0000 0.0000 0.0000
Ni1 0.0000 0.0000 0.5000
Sb1 0.3333 0.6667 0.2660
Sb2 0.6667 0.3333 0.7340
```

N(E_F): 2.1 states/eV/cell

Arrangement b

A crystal of CrNiSb2 relaxed with PBEsol. Source: Alexandria via LeMat-Bulk, functional meta-GGA SCAN.

CIF file:
```
data_CrNiSb2
_symmetry_space_group_name_H-M 'P 1'
_symmetry_Int_Tables_number 1
_cell_length_a 3.9092
_cell_length_b 5.1929
_cell_length_c 5.1929
_cell_angle_alpha 40.06
_cell_angle_beta 90.00
_cell_angle_gamma 90.00
loop_
_symmetry_equiv_pos_as_xyz
'x,y,z'
loop_
_atom_site_label
_atom_site_fract_x
_atom_site_fract_y
_atom_site_fract_z
Cr1 0.0000 0.0000 0.0000
Ni1 0.5000 0.1621 0.1621
Sb1 0.0000 0.7171 0.7171
Sb2 0.5000 0.4325 0.4325
```

N(E_F): 2.5 states/eV/cell

Least stable: arrangement b

Arrangement a

A crystal of CrNiSe relaxed with PBEsol. Source: Alexandria via LeMat-Bulk, functional meta-GGA SCAN.

CIF file:
```
data_CrNiSe
_symmetry_space_group_name_H-M 'P 1'
_symmetry_Int_Tables_number 1
_cell_length_a 3.8655
_cell_length_b 3.8655
_cell_length_c 3.2861
_cell_angle_alpha 90.00
_cell_angle_beta 90.00
_cell_angle_gamma 120.00
loop_
_symmetry_equiv_pos_as_xyz
'x,y,z'
loop_
_atom_site_label
_atom_site_fract_x
_atom_site_fract_y
_atom_site_fract_z
Cr1 0.0000 0.0000 0.0000
Ni1 0.3333 0.6667 0.4741
Se1 0.6667 0.3333 0.5400
```

N(E_F): 1.0 states/eV/cell

Arrangement b

A crystal of CrNiSe relaxed with PBEsol. Source: Alexandria via LeMat-Bulk, functional meta-GGA SCAN.

CIF file:
```
data_CrNiSe
_symmetry_space_group_name_H-M 'P 1'
_symmetry_Int_Tables_number 1
_cell_length_a 4.3636
_cell_length_b 4.3636
_cell_length_c 4.3636
_cell_angle_alpha 135.55
_cell_angle_beta 135.55
_cell_angle_gamma 64.68
loop_
_symmetry_equiv_pos_as_xyz
'x,y,z'
loop_
_atom_site_label
_atom_site_fract_x
_atom_site_fract_y
_atom_site_fract_z
Cr1 0.0000 0.0000 0.0000
Ni1 0.6538 0.6538 0.0000
Se1 0.3380 0.3380 0.0000
```

N(E_F): 1.4 states/eV/cell

Least stable: arrangement b